(1)
First-principles (PBE) data for AgPb3N after structural relaxation, as listed in the Alexandria database.

Summary:
Excess energy over the best structure of this formula in the dataset: 20.286 kcal/mol of atoms
Uncorrected formation energy: 7.28 eV/f.u.
Symmetry: Pm-3m
Total magnetic moment: 0.00 μB/f.u.

abc: 5.4194 5.4194 5.4194
angles: 90.00 90.00 90.00
Sites, in units of the cell vectors:
Ag 0.0000 0.0000 0.0000
N 0.5000 0.5000 0.5000
Pb 0.0000 0.0000 0.5000
Pb 0.5000 0.0000 0.0000
Pb 0.0000 0.5000 0.0000



(2)
First-principles (PBE) data for ReAgPbN2 after structural relaxation, as listed in the Alexandria database.

Summary:
Uncorrected formation energy: 11.83 eV/f.u.
Symmetry: P4/mmm
Total magnetic moment: 5.31 μB/f.u.

abc: 4.1015 5.4659 4.1015
angles: 90.00 90.00 90.00
Sites, in units of the cell vectors:
N 0.5000 0.0000 0.0000
N 0.0000 0.0000 0.5000
Re 0.0000 0.5000 0.0000
Pb 0.5000 0.5000 0.5000
Ag 0.0000 0.0000 0.0000



Table of V (A^3/atom), in record order: 31.83; 18.39
Table of DFT total energy (eV/atom), in record order: -3.004; -4.766
Table of density of states at the Fermi level (states/eV/cell), in record order: 4.72; 2.46